(1)
Density functional theory data (PBE) for crystalline AlPd2Pt2 at its relaxed geometry.

Properties
calculated total energy: -5.248 eV/atom

abc: 3.6169 3.6169 12.8432
angles: 90.00 90.00 90.00
With the nearest neighbours (Å) after each atom.
Space group I4/mmm (No. 139)
Asymmetric unit:
Al (0.0000, 0.0000, 0.0000) x2  8 Pt 2.84
Pd (0.0000, 0.5000, 0.2500) x4  4 Pd 2.56, 4 Pt 2.67
Pt (0.0000, 0.0000, 0.4034) x4  1 Pt 2.48, 4 Pd 2.67

(2)
Density functional theory data (PBE) for crystalline Al4Pd3Pt at its relaxed geometry.

Properties
calculated total energy: -5.528 eV/atom

abc: 6.9460 6.9460 8.4563
angles: 90.00 90.00 120.00
With the nearest neighbours (Å) after each atom.
Space group R3 (No. 146, hexagonal axes)
Asymmetric unit:
Al (0.0000, 0.0000, 0.0000) x3  1 Pt 2.57, 6 Pd 2.59-2.67
Al (0.0412, 0.2704, 0.4600) x9  5 Pd 2.59-2.66, 2 Pt 2.61-2.65
Pd (0.1013, 0.6988, 0.8937) x9  7 Al 2.59-2.67
Pt (0.0000, 0.0000, 0.6956) x3  7 Al 2.57-2.65

(3)
Density functional theory data (PBE) for crystalline SmAlPd2Pt2 at its relaxed geometry.

Properties
calculated total energy: -6.096 eV/atom

abc: 5.5423 8.7285 4.4458
angles: 90.00 90.00 90.00
With the nearest neighbours (Å) after each atom.
Space group Cmmm (No. 65)
Asymmetric unit:
Sm (0.0000, 0.0000, 0.0000) x2  6 Pd 2.97-3.10
Al (0.0000, 0.5000, 0.5000) x2  4 Pt 2.58, 4 Pd 2.63
Pd (0.0000, 0.3399, 0.0000) x4  2 Al 2.63, 4 Pt 2.73, 1 Pd 2.79
Pt (0.2500, 0.2500, 0.5000) x4  2 Al 2.58, 4 Pd 2.73, 2 Pt 2.77

(4)
Density functional theory data (PBE) for crystalline SmAl2Pd2Pt at its relaxed geometry.

Properties
calculated total energy: -5.699 eV/atom

abc: 5.3224 9.2696 4.3579
angles: 90.00 90.00 90.00
With the nearest neighbours (Å) after each atom.
Space group Cmmm (No. 65)
Asymmetric unit:
Sm (0.0000, 0.0000, 0.0000) x2  6 Pd 2.91-3.17
Al (0.2500, 0.2500, 0.5000) x4  4 Pd 2.62, 2 Al 2.66, 2 Pt 2.67
Pd (0.0000, 0.3137, 0.0000) x4  4 Al 2.62, 2 Pt 2.78, 1 Sm 2.91, 2 Pd 2.91
Pt (0.0000, 0.5000, 0.5000) x2  4 Al 2.67, 4 Pd 2.78

Question: calculated total energy of number 4 (SmAl2Pd2Pt)?
Answer: -5.699 eV/atom

Copy entry 4 word for word.
Density functional theory data (PBE) for crystalline SmAl2Pd2Pt at its relaxed geometry.

Properties
calculated total energy: -5.699 eV/atom

abc: 5.3224 9.2696 4.3579
angles: 90.00 90.00 90.00
With the nearest neighbours (Å) after each atom.
Space group Cmmm (No. 65)
Asymmetric unit:
Sm (0.0000, 0.0000, 0.0000) x2  6 Pd 2.91-3.17
Al (0.2500, 0.2500, 0.5000) x4  4 Pd 2.62, 2 Al 2.66, 2 Pt 2.67
Pd (0.0000, 0.3137, 0.0000) x4  4 Al 2.62, 2 Pt 2.78, 1 Sm 2.91, 2 Pd 2.91
Pt (0.0000, 0.5000, 0.5000) x2  4 Al 2.67, 4 Pd 2.78

Question: Which formula does entry 3 have?
Answer: SmAlPd2Pt2